4
Lattice="-2.053 2.053 4.516 2.053 -2.053 4.516 2.053 2.053 -4.516" Properties=species:S:1:pos:R:3 comment="Zn3Sb (PBE-GGA, relaxed)" space_group="I4/mmm, No. 139" dos_ef_per_ev_atom=0.25 e_form_raw_mev_per_atom=165 dft_energy_ev_per_atom=-1.821 vol_a3_per_atom=19.04 crystal_system=tetragonal pbc="T T T"
Zn 0.000 0.000 0.000
Zn 2.053 0.000 2.258
Zn 0.000 2.053 2.258
Sb 0.000 0.000 4.516

---

8
Lattice="4.162 -4.772 0.000 4.162 4.772 0.000 0.000 0.000 4.273" Properties=species:S:1:pos:R:3 comment="Zn3Sb (PBE-GGA, relaxed)" space_group="Cmcm, No. 63" dos_ef_per_ev_atom=0.33 e_form_raw_mev_per_atom=147 dft_energy_ev_per_atom=-1.839 vol_a3_per_atom=21.21 crystal_system=orthorhombic pbc="T T T"
Zn 2.798 3.013 1.068
Zn 4.162 4.152 3.205
Zn 5.526 3.013 1.068
Zn 2.798 -3.013 3.205
Zn 4.162 -4.152 1.068
Zn 5.526 -3.013 3.205
Sb 4.162 1.384 3.205
Sb 4.162 -1.384 1.068

---

6
Lattice="4.060 0.000 0.000 0.000 1.488 9.062 0.000 -1.488 9.062" Properties=species:S:1:pos:R:3 comment="Zn5Sb (PBE-GGA, relaxed)" space_group="Amm2, No. 38" dos_ef_per_ev_atom=0.20 relative_energy_mev_per_atom=0 e_form_raw_mev_per_atom=110 dft_energy_ev_per_atom=-1.639 vol_a3_per_atom=18.24 crystal_system=orthorhombic pbc="T T T"
Zn 0.000 0.000 0.000
Zn 0.000 0.000 5.058
Zn 0.000 0.000 11.524
Zn 2.030 0.000 1.741
Zn 2.030 0.000 13.231
Sb 2.030 0.000 7.273

---

4
Lattice="-2.000 4.002 2.417 2.000 -4.002 2.417 2.000 4.002 -2.417" Properties=species:S:1:pos:R:3 comment="Zn3Sb (PBE-GGA, relaxed)" space_group="Imm2, No. 44" dos_ef_per_ev_atom=0.35 e_form_raw_mev_per_atom=167 dft_energy_ev_per_atom=-1.819 vol_a3_per_atom=19.35 crystal_system=orthorhombic pbc="T T T"
Zn 0.000 0.000 0.000
Zn 2.000 1.878 -0.026
Zn 0.000 2.124 2.391
Sb 2.000 0.000 2.406